# Mn3Hg2, relaxed, DFT PBE
# crystal system = orthorhombic
# excess energy over the best structure of this formula in the dataset = 0.00 eV per formula unit
# DFT total energy = -25.96 eV/f.u.
# Fermi-level density of states = 28.7 states/eV per cell
data_Mn3Hg2
_symmetry_space_group_name_H-M 'F d d 2'
_symmetry_Int_Tables_number 43
_symmetry_space_group_name_Hall 'F 2 -2d'
_cell_length_a 9.7740
_cell_length_b 13.6997
_cell_length_c 5.3381
_cell_angle_alpha 90.00
_cell_angle_beta 90.00
_cell_angle_gamma 90.00
loop_
_atom_site_label
_atom_site_type_symbol
_atom_site_fract_x
_atom_site_fract_y
_atom_site_fract_z
Mn1 Mn 0.0000 0.0000 0.0000
Mn2 Mn 0.0463 0.0978 0.4521
Hg1 Hg 0.0365 0.1991 0.9311